Computed, not measured: a relaxed structure of CaMn2InO4 at the GGA+U level of DFT.

Unit cell a=6.592 b=6.592 c=6.925 alpha=121.67 beta=121.67 gamma=88.86
Each line ends with the local moment (μB).
Atoms (fractional coordinates):
1 Ca 0.000 0.500 0.500  0.01
2 Ca 0.000 0.500 0.000  0.01
3 O 0.257 0.243 0.559  -0.03
4 O 0.743 0.757 0.441  -0.03
5 O 0.717 0.269 0.993  0.01
6 O 0.231 0.783 0.507  0.01
7 O 0.769 0.217 0.493  0.01
8 O 0.283 0.731 0.007  0.01
9 O 0.743 0.757 0.059  -0.03
10 O 0.257 0.243 0.941  -0.03
11 In 0.500 0.500 0.500  -0.04
12 In 0.000 0.000 0.000  -0.04
13 Mn 0.500 0.000 0.500  4.62
14 Mn 0.000 0.000 0.500  2.18
15 Mn 0.500 0.000 0.000  4.62
16 Mn 0.500 0.500 0.000  2.18

Output
As for the total energy: -6.4229 eV per atom.